A plane-wave DFT calculation with GGA-PBE was carried out for HfScBr3 after structural relaxation.

Cell: 5.315 5.315 5.315 Å, 90.00 90.00 90.00°
Space group Pm-3m (No. 221)
Unique sites:
1 Hf 0.000 0.000 0.000 x1
2 Sc 0.500 0.500 0.500 x1
3 Br 0.000 0.500 0.500 x3

Computed properties:
As for the density: 5.12 g cm⁻³. The value obtained for the volume is 150.2 Å³/cell. Its energy is -4.40 eV/atom. Its total magnetic moment is 1.905 μB/f.u. The uncorrected formation energy is -0.141 eV/atom. As for the crystal system: cubic.